Entry 1:
This record from Alexandria via LeMat-Bulk describes a relaxed AgAs2Rh crystal. The functional is PBE.

Cell lengths 8.3157, 8.3157, 8.3157 Å; angles 21.94, 21.94, 21.94 degrees
Closest atoms and distances in Å follow each position.
Element x y z (fractional)
Ag  0.0000  0.0000  0.0000  6 As 2.91, 6 Ag 3.17
As  0.2404  0.2404  0.2404  3 Rh 2.56
As  0.7596  0.7596  0.7596  3 Rh 2.56
Rh  0.5000  0.5000  0.5000  6 As 2.56

Values from the calculation:
Space group: No. 166
Volume: 17.60 Å³ per atom
E_form: -0.05 eV/atom

---

Entry 2:
This record from Alexandria via LeMat-Bulk describes a relaxed Hf4CoSb2 crystal. The functional is PBE.

Cell lengths 6.9733, 6.9733, 6.8011 Å; angles 116.85, 116.85, 31.84 degrees
Closest atoms and distances in Å follow each position.
Element x y z (fractional)
Hf  0.0860  0.0860  0.3140  2 Co 2.69, 3 Sb 2.92-3.01
Hf  0.3948  0.3948  0.2655  1 Co 2.76, 3 Sb 2.90-2.91, 2 Hf 3.09
Hf  0.6052  0.6052  0.7345  1 Co 2.76, 3 Sb 2.90-2.91, 2 Hf 3.09
Hf  0.9140  0.9140  0.6860  2 Co 2.69, 3 Sb 2.92-3.01
Co  0.5000  0.5000  0.0000  2 Sb 2.63, 6 Hf 2.69-2.76
Sb  0.2779  0.2779  0.7815  1 Co 2.63, 5 Hf 2.90-2.92
Sb  0.7221  0.7221  0.2185  1 Co 2.63, 5 Hf 2.90-2.92

Values from the calculation:
Space group: No. 12
Formation energy (no corrections): -0.178 eV per atom
Volume: 22.01 Å³ per atom

---

Entry 3:
This record from Alexandria via LeMat-Bulk describes a relaxed YU2CrC4 crystal. The functional is PBE.

Cell lengths 5.8409, 5.8409, 11.6663 Å; angles 90.00, 90.00, 144.54 degrees
Closest atoms and distances in Å follow each position.
Element x y z (fractional)
Y  0.1156  0.8844  0.7500  6 C 2.70-2.77, 1 Cr 2.96
Y  0.8844  0.1156  0.2500  6 C 2.70-2.77, 1 Cr 2.96
U  0.3706  0.6294  0.5484  6 C 2.36-2.45
U  0.3706  0.6294  0.9516  6 C 2.36-2.45
U  0.6294  0.3706  0.0484  6 C 2.36-2.45
U  0.6294  0.3706  0.4516  6 C 2.36-2.45
Cr  0.1508  0.8492  0.2500  4 C 1.90-1.97
Cr  0.8492  0.1508  0.7500  4 C 1.90-1.97
C  0.0000  0.0000  0.0000  4 U 2.36
C  0.0000  0.0000  0.5000  4 U 2.36
C  0.2589  0.7411  0.1242  1 Cr 1.90
C  0.2589  0.7411  0.3758  1 Cr 1.90
C  0.4251  0.5749  0.7500  2 Cr 1.97
C  0.5749  0.4251  0.2500  2 Cr 1.97
C  0.7411  0.2589  0.6242  1 Cr 1.90
C  0.7411  0.2589  0.8758  1 Cr 1.90

Values from the calculation:
Space group: No. 63
Volume: 14.43 Å³ per atom
E_form: -0.07 eV/atom

---

Entry 4:
This record from Alexandria via LeMat-Bulk describes a relaxed TaSnPCl2 crystal. The functional is PBE.

Cell lengths 5.0144, 5.0144, 5.3031 Å; angles 90.00, 90.00, 90.00 degrees
Closest atoms and distances in Å follow each position.
Element x y z (fractional)
Ta  0.0000  0.0000  0.0000  4 P 3.55, 8 Cl 3.65
Sn  0.5000  0.5000  0.5000  4 Cl 2.51, 2 P 2.65
P  0.5000  0.5000  0.0000  2 Sn 2.65
Cl  0.0000  0.5000  0.5000  2 Sn 2.51
Cl  0.5000  0.0000  0.5000  2 Sn 2.51

Values from the calculation:
Space group: No. 123
Formation energy (no corrections): 0.959 eV per atom
Volume: 26.67 Å³ per atom

---

Entry 5:
This record from Alexandria via LeMat-Bulk describes a relaxed BiPb6Au crystal. The functional is PBE.

Cell lengths 7.7135, 7.7135, 10.6991 Å; angles 110.66, 110.66, 89.73 degrees
Closest atoms and distances in Å follow each position.
Element x y z (fractional)
Bi  0.0000  0.5000  0.0000  8 Pb 3.22-3.45
Bi  0.5000  0.0000  0.0000  8 Pb 3.22-3.45
Pb  0.0191  0.7242  0.3345  1 Au 2.92, 2 Pb 3.21-3.25
Pb  0.0585  0.7482  0.8054  1 Au 3.02, 2 Pb 3.38
Pb  0.2518  0.9415  0.1946  1 Au 3.02, 2 Pb 3.38
Pb  0.2758  0.9809  0.6656  1 Au 2.92, 2 Pb 3.21-3.25
Pb  0.3461  0.3461  0.5057  2 Au 2.91, 1 Pb 3.23
Pb  0.3693  0.3693  0.1831  2 Bi 3.22, 4 Pb 3.23-3.58
Pb  0.6307  0.6307  0.8169  2 Bi 3.22, 4 Pb 3.23-3.58
Pb  0.6539  0.6539  0.4943  2 Au 2.91, 1 Pb 3.23
Pb  0.7242  0.0191  0.3345  1 Au 2.92, 2 Pb 3.21-3.25
Pb  0.7482  0.0585  0.8054  1 Au 3.02, 2 Pb 3.38
Pb  0.9415  0.2518  0.1946  1 Au 3.02, 2 Pb 3.38
Pb  0.9809  0.2758  0.6656  1 Au 2.92, 2 Pb 3.21-3.25
Au  0.0000  0.5000  0.5000  6 Pb 2.91-3.02
Au  0.5000  0.0000  0.5000  6 Pb 2.91-3.02

Values from the calculation:
Space group: No. 12
Volume: 34.51 Å³ per atom
E_form: 0.08 eV/atom

---

Entry 6:
This record from Alexandria via LeMat-Bulk describes a relaxed ThRhPb crystal. The functional is PBE.

Cell lengths 13.9902, 3.8965, 7.9705 Å; angles 90.00, 90.00, 90.00 degrees
Closest atoms and distances in Å follow each position.
Element x y z (fractional)
Th  0.0471  0.0000  0.2173  5 Rh 2.99-3.33
Th  0.2500  0.0000  0.8361  5 Rh 3.00-3.19, 2 Pb 3.34
Th  0.4529  0.0000  0.2173  5 Rh 2.99-3.33
Th  0.5471  0.0000  0.7827  5 Rh 2.99-3.33
Th  0.7500  0.0000  0.1639  5 Rh 3.00-3.19, 2 Pb 3.34
Th  0.9529  0.0000  0.7827  5 Rh 2.99-3.33
Rh  0.0946  0.5000  0.9214  2 Pb 2.92-2.98, 1 Rh 2.93, 6 Th 2.99-3.13
Rh  0.2500  0.0000  0.4363  6 Pb 2.84
Rh  0.4054  0.5000  0.9214  2 Pb 2.92-2.98, 1 Rh 2.93, 6 Th 2.99-3.13
Rh  0.5946  0.5000  0.0786  2 Pb 2.92-2.98, 1 Rh 2.93, 6 Th 2.99-3.13
Rh  0.7500  0.0000  0.5637  6 Pb 2.84
Rh  0.9054  0.5000  0.0786  2 Pb 2.92-2.98, 1 Rh 2.93, 6 Th 2.99-3.13
Pb  0.1191  0.5000  0.5582  3 Rh 2.84-2.92
Pb  0.2500  0.5000  0.1771  4 Rh 2.84-2.98
Pb  0.3809  0.5000  0.5582  3 Rh 2.84-2.92
Pb  0.6191  0.5000  0.4418  3 Rh 2.84-2.92
Pb  0.7500  0.5000  0.8230  4 Rh 2.84-2.98
Pb  0.8809  0.5000  0.4418  3 Rh 2.84-2.92

Values from the calculation:
Space group: No. 51
Volume: 24.14 Å³ per atom
E_form: -0.64 eV/atom

---

Entry 7:
This record from Alexandria via LeMat-Bulk describes a relaxed AlPtF6 crystal. The functional is PBE.

Cell lengths 5.1826, 5.1826, 5.0260 Å; angles 97.90, 97.90, 121.89 degrees
Closest atoms and distances in Å follow each position.
Element x y z (fractional)
Al  0.0000  0.0000  0.0000  6 F 1.76-1.89
Pt  0.5000  0.5000  0.5000  4 F 2.02
F  0.0975  0.3728  0.2369  1 Al 1.89, 1 Pt 2.02
F  0.2198  0.2198  0.7823  1 Al 1.76
F  0.3728  0.0975  0.2369  1 Al 1.89, 1 Pt 2.02
F  0.6272  0.9025  0.7631  1 Al 1.89, 1 Pt 2.02
F  0.7802  0.7802  0.2177  1 Al 1.76
F  0.9025  0.6272  0.7631  1 Al 1.89, 1 Pt 2.02

Values from the calculation:
Space group: No. 12
Formation energy (no corrections): -2.221 eV per atom
Volume: 13.74 Å³ per atom

---

Entry 8:
This record from Alexandria via LeMat-Bulk describes a relaxed GaSiF5 crystal. The functional is PBE.

Cell lengths 5.8608, 5.8608, 5.8608 Å; angles 102.56, 88.62, 143.78 degrees
Closest atoms and distances in Å follow each position.
Element x y z (fractional)
Ga  0.0000  0.0000  0.0000  6 F 2.52-2.69
Si  0.4982  0.9982  0.5000  6 F 1.67-1.82
F  0.2991  0.9982  0.3010  1 Si 1.67
F  0.4981  0.2288  0.7307  1 Si 1.69
F  0.4981  0.7674  0.2693  1 Si 1.69
F  0.6972  0.9982  0.6990  1 Si 1.67
F  0.9981  0.4981  0.5000  2 Si 1.82

Values from the calculation:
Space group: No. 44
Formation energy (no corrections): -2.669 eV per atom
Volume: 16.01 Å³ per atom